Run w
A plane-wave DFT calculation with PBE was carried out for a relaxed structure of Y2TeO.

a b c (Å): 7.138 7.138 7.383
angles (deg): 90.00 90.00 90.00
Positions (direct):
Y1 0.136 0.750 0.125
Y2 0.250 0.136 0.875
Y3 0.250 0.364 0.375
Y4 0.364 0.750 0.625
Y5 0.636 0.250 0.625
Y6 0.750 0.636 0.375
Y7 0.750 0.864 0.875
Y8 0.864 0.250 0.125
Te1 0.000 0.000 0.500
Te2 0.000 0.500 0.750
Te3 0.500 0.000 0.250
Te4 0.500 0.500 0.000
O1 0.000 0.000 0.000
O2 0.000 0.500 0.250
O3 0.500 0.000 0.750
O4 0.500 0.500 0.500

As for the symmetry: No. 122. The value obtained for the density is 5.7 g/cm3. The value obtained for the density of states at the Fermi level is 6.97 states/eV/cell.

Run x
A plane-wave DFT calculation with PBE was carried out for a relaxed structure of Y2TeO.

a b c (Å): 3.789 3.789 20.424
angles (deg): 90.00 90.00 120.00
Positions (direct):
Y1 0.000 0.000 0.227
Y2 0.000 0.000 0.773
Y3 0.333 0.667 0.440
Y4 0.333 0.667 0.894
Y5 0.667 0.333 0.106
Y6 0.667 0.333 0.560
Te1 0.000 0.000 0.000
Te2 0.333 0.667 0.667
Te3 0.667 0.333 0.333
O1 0.000 0.000 0.500
O2 0.333 0.667 0.167
O3 0.667 0.333 0.833

As for the symmetry: No. 166. The value obtained for the density is 6.3 g/cm3. The value obtained for the density of states at the Fermi level is 2.62 states/eV/cell.

Run y
A plane-wave DFT calculation with PBE was carried out for a relaxed structure of Y2TeO.

a b c (Å): 6.476 6.345 11.380
angles (deg): 90.00 119.50 90.00
Positions (direct):
Y1 0.029 0.233 0.069
Y2 0.029 0.767 0.569
Y3 0.291 0.205 0.822
Y4 0.291 0.795 0.322
Y5 0.709 0.205 0.678
Y6 0.709 0.795 0.178
Y7 0.971 0.233 0.431
Y8 0.971 0.767 0.931
Te1 0.384 0.287 0.369
Te2 0.384 0.713 0.869
Te3 0.616 0.287 0.131
Te4 0.616 0.713 0.631
O1 0.008 0.105 0.882
O2 0.008 0.895 0.382
O3 0.992 0.105 0.618
O4 0.992 0.895 0.118

As for the symmetry: No. 13. The value obtained for the density is 5.2 g/cm3. The value obtained for the density of states at the Fermi level is 9.06 states/eV/cell.

Stability, lowest: run x

Run w
A plane-wave DFT calculation with PBE was carried out for a relaxed structure of YTe3O.

a b c (Å): 4.900 4.900 4.900
angles (deg): 90.00 90.00 90.00
Positions (direct):
Y1 0.000 0.000 0.000
Te1 0.000 0.500 0.500
Te2 0.500 0.000 0.500
Te3 0.500 0.500 0.000
O1 0.500 0.500 0.500

As for the symmetry: No. 221. The value obtained for the density is 6.9 g/cm3. The value obtained for the density of states at the Fermi level is 1.68 states/eV/cell.

Run x
A plane-wave DFT calculation with PBE was carried out for a relaxed structure of YTe3O.

a b c (Å): 5.762 5.762 5.762
angles (deg): 90.00 90.00 90.00
Positions (direct):
Y1 0.000 0.000 0.000
Te1 0.000 0.000 0.500
Te2 0.000 0.500 0.000
Te3 0.500 0.000 0.000
O1 0.500 0.500 0.500

As for the symmetry: No. 221. The value obtained for the density is 4.2 g/cm3. The value obtained for the density of states at the Fermi level is 10.11 states/eV/cell.

Stability, lowest: run x

Run w
A plane-wave DFT calculation with PBE was carried out for a relaxed structure of Zn3TeO6.

a b c (Å): 6.178 6.178 6.178
angles (deg): 89.66 89.66 89.66
Positions (direct):
Zn1 0.039 0.745 0.562
Zn2 0.255 0.438 0.961
Zn3 0.438 0.961 0.255
Zn4 0.562 0.039 0.745
Zn5 0.745 0.562 0.039
Zn6 0.961 0.255 0.438
Te1 0.000 0.000 0.000
Te2 0.500 0.500 0.500
O1 0.045 0.698 0.913
O2 0.087 0.955 0.302
O3 0.197 0.440 0.568
O4 0.302 0.087 0.955
O5 0.432 0.803 0.560
O6 0.440 0.568 0.197
O7 0.560 0.432 0.803
O8 0.568 0.197 0.440
O9 0.698 0.913 0.045
O10 0.803 0.560 0.432
O11 0.913 0.045 0.698
O12 0.955 0.302 0.087

As for the symmetry: No. 148. The value obtained for the density is 5.9 g/cm3.

Run x
A plane-wave DFT calculation with PBE was carried out for a relaxed structure of Zn3TeO6.

a b c (Å): 8.793 8.793 10.534
angles (deg): 92.40 92.40 61.35
Positions (direct):
Zn1 0.001 0.727 0.243
Zn2 0.065 0.343 0.426
Zn3 0.100 0.576 0.941
Zn4 0.201 0.799 0.750
Zn5 0.273 0.999 0.257
Zn6 0.323 0.623 0.448
Zn7 0.343 0.065 0.926
Zn8 0.377 0.677 0.052
Zn9 0.424 0.900 0.559
Zn10 0.576 0.100 0.441
Zn11 0.623 0.323 0.948
Zn12 0.657 0.935 0.074
Zn13 0.677 0.377 0.552
Zn14 0.727 0.001 0.743
Zn15 0.799 0.201 0.250
Zn16 0.900 0.424 0.059
Zn17 0.935 0.657 0.574
Zn18 0.999 0.273 0.757
Te1 0.000 0.000 0.000
Te2 0.000 0.000 0.500
Te3 0.334 0.337 0.695
Te4 0.337 0.334 0.195
Te5 0.663 0.666 0.805
Te6 0.666 0.663 0.305
O1 0.047 0.094 0.158
O2 0.090 0.763 0.560
O3 0.090 0.768 0.072
O4 0.094 0.047 0.658
O5 0.114 0.413 0.600
O6 0.121 0.431 0.095
O7 0.223 0.259 0.817
O8 0.231 0.548 0.299
O9 0.232 0.910 0.428
O10 0.237 0.910 0.940
O11 0.241 0.555 0.795
O12 0.259 0.223 0.317
O13 0.413 0.114 0.100
O14 0.426 0.430 0.073
O15 0.430 0.426 0.573
O16 0.431 0.121 0.595
O17 0.445 0.759 0.705
O18 0.452 0.769 0.201
O19 0.548 0.231 0.799
O20 0.555 0.241 0.295
O21 0.569 0.879 0.405
O22 0.570 0.574 0.427
O23 0.574 0.570 0.927
O24 0.587 0.886 0.900
O25 0.741 0.777 0.683
O26 0.759 0.445 0.205
O27 0.763 0.090 0.060
O28 0.768 0.090 0.572
O29 0.769 0.452 0.701
O30 0.777 0.741 0.183
O31 0.879 0.569 0.905
O32 0.886 0.587 0.400
O33 0.906 0.953 0.342
O34 0.910 0.232 0.928
O35 0.910 0.237 0.440
O36 0.953 0.906 0.842

As for the symmetry: No. 15. The value obtained for the density is 5.9 g/cm3.

Run y
A plane-wave DFT calculation with PBE was carried out for a relaxed structure of Zn3TeO6.

a b c (Å): 5.576 5.576 5.576
angles (deg): 56.41 56.41 56.41
Positions (direct):
Zn1 0.000 0.000 0.000
Zn2 0.220 0.220 0.220
Zn3 0.730 0.730 0.730
Te1 0.515 0.515 0.515
O1 0.143 0.412 0.778
O2 0.311 0.893 0.611
O3 0.412 0.778 0.143
O4 0.611 0.311 0.893
O5 0.778 0.143 0.412
O6 0.893 0.611 0.311

As for the symmetry: No. 146. The value obtained for the density is 6.2 g/cm3.

Stability, lowest: run y

Run w
A plane-wave DFT calculation with PBE was carried out for a relaxed structure of ZnTe2O5.

a b c (Å): 9.253 12.406 8.516
angles (deg): 90.00 90.00 90.00
Positions (direct):
Zn1 0.010 0.123 0.023
Zn2 0.010 0.377 0.023
Zn3 0.490 0.623 0.523
Zn4 0.490 0.877 0.523
Zn5 0.510 0.123 0.477
Zn6 0.510 0.377 0.477
Zn7 0.990 0.623 0.977
Zn8 0.990 0.877 0.977
Te1 0.102 0.250 0.698
Te2 0.152 0.517 0.342
Te3 0.152 0.983 0.342
Te4 0.179 0.750 0.680
Te5 0.321 0.250 0.180
Te6 0.348 0.017 0.842
Te7 0.348 0.483 0.842
Te8 0.398 0.750 0.198
Te9 0.602 0.250 0.802
Te10 0.652 0.517 0.158
Te11 0.652 0.983 0.158
Te12 0.679 0.750 0.820
Te13 0.821 0.250 0.320
Te14 0.848 0.017 0.658
Te15 0.848 0.483 0.658
Te16 0.898 0.750 0.302
O1 0.010 0.628 0.408
O2 0.010 0.872 0.408
O3 0.031 0.750 0.131
O4 0.114 0.250 0.166
O5 0.114 0.511 0.122
O6 0.114 0.989 0.122
O7 0.163 0.631 0.822
O8 0.163 0.869 0.822
O9 0.191 0.117 0.850
O10 0.191 0.383 0.850
O11 0.309 0.617 0.350
O12 0.309 0.883 0.350
O13 0.337 0.131 0.322
O14 0.337 0.369 0.322
O15 0.386 0.011 0.622
O16 0.386 0.489 0.622
O17 0.386 0.750 0.666
O18 0.469 0.250 0.631
O19 0.490 0.128 0.908
O20 0.490 0.372 0.908
O21 0.510 0.628 0.092
O22 0.510 0.872 0.092
O23 0.531 0.750 0.369
O24 0.614 0.250 0.334
O25 0.614 0.511 0.378
O26 0.614 0.989 0.378
O27 0.663 0.631 0.678
O28 0.663 0.869 0.678
O29 0.691 0.117 0.650
O30 0.691 0.383 0.650
O31 0.809 0.617 0.150
O32 0.809 0.883 0.150
O33 0.837 0.131 0.178
O34 0.837 0.369 0.178
O35 0.886 0.011 0.878
O36 0.886 0.489 0.878
O37 0.886 0.750 0.834
O38 0.969 0.250 0.869
O39 0.990 0.128 0.592
O40 0.990 0.372 0.592

As for the symmetry: No. 62. The value obtained for the density is 5.4 g/cm3. The value obtained for the density of states at the Fermi level is 0.00 states/eV/cell.

Run x
A plane-wave DFT calculation with PBE was carried out for a relaxed structure of ZnTe2O5.

a b c (Å): 7.383 10.931 6.059
angles (deg): 90.00 90.00 90.00
Positions (direct):
Zn1 0.000 0.059 0.250
Zn2 0.000 0.941 0.750
Zn3 0.500 0.441 0.750
Zn4 0.500 0.559 0.250
Te1 0.136 0.346 0.010
Te2 0.136 0.654 0.510
Te3 0.364 0.154 0.510
Te4 0.364 0.846 0.010
Te5 0.636 0.154 0.990
Te6 0.636 0.846 0.490
Te7 0.864 0.346 0.490
Te8 0.864 0.654 0.990
O1 0.000 0.440 0.250
O2 0.000 0.560 0.750
O3 0.147 0.064 0.545
O4 0.147 0.936 0.045
O5 0.196 0.209 0.188
O6 0.196 0.791 0.688
O7 0.304 0.291 0.688
O8 0.304 0.709 0.188
O9 0.353 0.436 0.045
O10 0.353 0.564 0.545
O11 0.500 0.060 0.750
O12 0.500 0.940 0.250
O13 0.647 0.436 0.455
O14 0.647 0.564 0.955
O15 0.696 0.291 0.812
O16 0.696 0.709 0.312
O17 0.804 0.209 0.312
O18 0.804 0.791 0.812
O19 0.853 0.064 0.955
O20 0.853 0.936 0.455

As for the symmetry: No. 60. The value obtained for the density is 5.4 g/cm3. The value obtained for the density of states at the Fermi level is 0.00 states/eV/cell.

Stability, lowest: run x

Run w
A plane-wave DFT calculation with PBE was carried out for a relaxed structure of Zn2Te2O7.

a b c (Å): 5.373 5.478 10.673
angles (deg): 97.23 90.41 92.94
Positions (direct):
Zn1 0.000 0.000 0.000
Zn2 0.115 0.639 0.266
Zn3 0.499 0.040 0.794
Zn4 0.623 0.749 0.477
Te1 0.196 0.113 0.512
Te2 0.396 0.532 0.003
Te3 0.625 0.239 0.263
Te4 0.931 0.574 0.752
O1 0.098 0.276 0.677
O2 0.125 0.718 0.083
O3 0.244 0.680 0.838
O4 0.272 0.210 0.932
O5 0.324 0.877 0.377
O6 0.352 0.394 0.181
O7 0.367 0.379 0.449
O8 0.419 0.953 0.614
O9 0.696 0.370 0.823
O10 0.784 0.555 0.324
O11 0.784 0.855 0.852
O12 0.797 0.216 0.107
O13 0.873 0.068 0.440
O14 0.895 0.690 0.598

As for the symmetry: No. 1. The value obtained for the density is 5.3 g/cm3.

Run x
A plane-wave DFT calculation with PBE was carried out for a relaxed structure of Zn2Te2O7.

a b c (Å): 5.763 5.763 5.901
angles (deg): 92.39 92.39 112.87
Positions (direct):
Zn1 0.228 0.772 0.000
Zn2 0.772 0.228 0.000
Te1 0.224 0.224 0.644
Te2 0.776 0.776 0.356
O1 0.078 0.078 0.304
O2 0.089 0.417 0.838
O3 0.417 0.089 0.838
O4 0.500 0.500 0.500
O5 0.583 0.911 0.162
O6 0.911 0.583 0.162
O7 0.922 0.922 0.696

As for the symmetry: No. 12. The value obtained for the density is 4.6 g/cm3.

Stability, lowest: run x

Run w
A plane-wave DFT calculation with PBE was carried out for a relaxed structure of ZnTe3O.

a b c (Å): 5.177 5.177 5.177
angles (deg): 90.00 90.00 90.00
Positions (direct):
Zn1 0.000 0.000 0.000
Te1 0.000 0.000 0.500
Te2 0.000 0.500 0.000
Te3 0.500 0.000 0.000
O1 0.500 0.500 0.500

As for the symmetry: No. 221. The value obtained for the density is 5.6 g/cm3. The value obtained for the density of states at the Fermi level is 8.65 states/eV/cell.

Run x
A plane-wave DFT calculation with PBE was carried out for a relaxed structure of ZnTe3O.

a b c (Å): 4.836 4.836 4.836
angles (deg): 90.00 90.00 90.00
Positions (direct):
Zn1 0.000 0.000 0.000
Te1 0.000 0.500 0.500
Te2 0.500 0.000 0.500
Te3 0.500 0.500 0.000
O1 0.500 0.500 0.500

As for the symmetry: No. 221. The value obtained for the density is 6.8 g/cm3. The value obtained for the density of states at the Fermi level is 3.29 states/eV/cell.

Stability, lowest: run w

Run w
A plane-wave DFT calculation with PBE was carried out for a relaxed structure of ZnTe2O2.

a b c (Å): 7.273 7.273 4.049
angles (deg): 90.00 90.00 90.00
Positions (direct):
Zn1 0.000 0.000 0.000
Zn2 0.500 0.500 0.000
Te1 0.155 0.345 0.000
Te2 0.345 0.845 0.000
Te3 0.655 0.155 0.000
Te4 0.845 0.655 0.000
O1 0.200 0.300 0.500
O2 0.300 0.800 0.500
O3 0.700 0.200 0.500
O4 0.800 0.700 0.500

As for the symmetry: No. 127. The value obtained for the density is 5.5 g/cm3. The value obtained for the density of states at the Fermi level is 3.21 states/eV/cell.

Run x
A plane-wave DFT calculation with PBE was carried out for a relaxed structure of ZnTe2O2.

a b c (Å): 3.686 3.686 12.428
angles (deg): 90.00 90.00 90.00
Positions (direct):
Zn1 0.000 0.000 0.000
Zn2 0.500 0.500 0.500
Te1 0.000 0.000 0.364
Te2 0.000 0.000 0.636
Te3 0.500 0.500 0.136
Te4 0.500 0.500 0.864
O1 0.000 0.500 0.250
O2 0.000 0.500 0.750
O3 0.500 0.000 0.250
O4 0.500 0.000 0.750

As for the symmetry: No. 139. The value obtained for the density is 6.9 g/cm3. The value obtained for the density of states at the Fermi level is 3.79 states/eV/cell.

Stability, lowest: run x